1.
Material: NdBi
Method: DFT, PBE
State: relaxed

Calculated values
**E_tot**: -5.03 eV per atom
**Total magnetic moment**: 0.004 μB per formula unit
**ΔE to the lowest computed polymorph**: 0.344 eV per atom
**Symmetry**: Pmma, No. 51

Cell and atoms, written as extended XYZ:
```
8
Lattice="-2.611 -1.996 -5.850 -5.295 -1.517 2.880 -2.198 5.787 -0.993" Properties=species:S:1:pos:R:3 pbc="T T T"
Nd -2.333 -0.510 -4.557
Bi -1.387 1.434 -1.794
Bi -4.633 -2.181 -2.960
Nd -3.746 2.135 0.944
Bi -3.422 2.357 -5.049
Bi -5.470 4.456 -1.003
Nd -5.052 1.137 -1.982
Nd -2.476 4.301 -2.286
```

2.
Material: PrTmNO
Method: DFT, PBE
State: relaxed

Calculated values
**E_tot**: -7.67 eV per atom
**Total magnetic moment**: 0.001 μB per formula unit
**ΔE to the lowest computed polymorph**: 0.113 eV per atom
**Symmetry**: P4/nmm, No. 129

Cell and atoms, written as extended XYZ:
```
8
Lattice="4.735 0.000 0.000 0.000 4.735 0.000 0.000 0.000 5.938" Properties=species:S:1:pos:R:3 pbc="T T T"
Tm 0.000 2.367 0.183
N 2.367 0.000 3.662
N 0.000 2.367 2.276
O 2.367 2.367 0.000
Pr 2.367 2.367 2.969
Tm 2.367 0.000 5.755
Pr 0.000 0.000 2.969
O 0.000 0.000 0.000
```

3.
Material: Nd2PdO4
Method: DFT, PBE
State: relaxed

Calculated values
**E_tot**: -7.46 eV per atom
**Total magnetic moment**: 0.000 μB per formula unit
**ΔE to the lowest computed polymorph**: 0.000 eV per atom
**Symmetry**: Pbca, No. 61

Cell and atoms, written as extended XYZ:
```
28
Lattice="-0.582 5.109 -2.404 -1.080 -2.484 -5.020 -12.107 -0.125 2.666" Properties=species:S:1:pos:R:3 pbc="T T T"
Pd -6.593 -1.305 -1.177
O -4.085 -0.752 -3.858
O -6.656 2.716 -1.900
Nd -11.302 3.809 -2.446
Nd -8.717 1.278 -1.750
O -7.113 -0.216 -2.858
O -12.587 2.935 0.001
Pd 0.000 0.000 0.000
O -10.056 -0.625 -2.141
Nd -4.792 4.923 -1.655
O -6.506 0.440 -0.072
O -13.194 2.279 -2.785
Nd -2.466 -1.309 -2.311
O -7.262 2.061 -4.685
O -3.554 0.569 -1.385
O -4.243 1.804 -5.089
O -10.214 1.931 -3.372
O -9.683 3.253 -0.900
O -3.712 3.125 -2.616
Pd -6.344 2.492 0.131
Nd -11.562 0.108 -3.799
O -9.525 0.697 0.331
O -0.575 0.221 -1.973
Nd -8.977 -2.423 -3.103
Nd -2.206 2.392 -0.958
O -1.182 -0.434 -4.759
Pd -0.831 1.313 -3.712
Nd -5.051 1.222 -3.008
```

> Number 3 is which compound?

Nd2PdO4

> Which value of E_tot does entry 1 give?

-5.03 eV per atom

> The highest E_tot belongs to which entry?

NdBi